No. 1
{"formula": "HgRhPb2I", "functional": "PBE-GGA", "state": "optimized geometry", "e_form_raw_mev_per_atom": -146, "lattice": [[5.325, 0.000, 0.000], [0.000, 5.325, 0.000], [0.000, 0.000, 5.367]], "species": ["Pb", "Pb", "I", "Rh", "Hg"], "frac_coords": [[0.000, 0.500, 0.000], [0.500, 0.000, 0.000], [0.500, 0.500, 0.500], [0.000, 0.000, 0.000], [0.000, 0.000, 0.500]]}


No. 2
{"formula": "Cs2KTl2", "functional": "PBE-GGA", "state": "optimized geometry", "formation_energy_mev_per_atom": 16.9, "lattice": [[-0.152, -1.648, 4.325], [2.277, -3.794, -1.366], [13.673, 3.794, 4.406]], "species": ["Cs", "Cs", "Tl", "Tl", "K"], "frac_coords": [[0.367, 0.367, 0.266], [0.633, 0.633, 0.734], [0.750, 0.250, 0.500], [0.250, 0.750, 0.500], [0.000, 0.000, 0.000]]}


No. 3
{"formula": "Mg4PdPt5", "functional": "PBE-GGA", "state": "optimized geometry", "formation_energy_mev_per_atom": -704.6, "lattice": [[-2.417, 2.103, 1.872], [-2.210, -1.241, -1.459], [-1.005, -10.314, 10.292]], "species": ["Mg", "Mg", "Mg", "Mg", "Pd", "Pt", "Pt", "Pt", "Pt", "Pt"], "frac_coords": [[0.000, 0.000, 0.194], [0.000, 0.000, 0.399], [0.000, 0.000, 0.601], [0.000, 0.000, 0.806], [0.000, 0.000, 0.000], [0.500, 0.500, 0.101], [0.500, 0.500, 0.300], [0.500, 0.500, 0.500], [0.500, 0.500, 0.700], [0.500, 0.500, 0.899]]}


No. 4
{"formula": "HoLuScRh", "functional": "PBE-GGA", "state": "optimized geometry", "formation_energy_mev_per_atom": -247.1, "lattice": [[-4.736, -1.659, -0.019], [-0.932, -4.928, -0.175], [-1.852, -2.348, 4.030]], "species": ["Sc", "Lu", "Rh", "Ho"], "frac_coords": [[0.000, 0.000, 0.000], [0.750, 0.750, 0.750], [0.500, 0.500, 0.500], [0.250, 0.250, 0.250]]}


No. 5
{"formula": "BeBr3", "functional": "PBE-GGA", "state": "optimized geometry", "e_form_raw_mev_per_atom": -193, "lattice": [[-3.043, 0.900, -1.117], [2.087, -1.718, -2.003], [-4.241, -9.605, 3.820]], "species": ["Be", "Br", "Br", "Br"], "frac_coords": [[0.000, 0.000, 0.000], [0.000, 0.000, 0.500], [0.667, 0.333, 0.138], [0.667, 0.333, 0.862]]}


No. 6
{"formula": "TiCr", "functional": "PBE-GGA", "state": "optimized geometry", "formation_energy_mev_per_atom": 375.2, "lattice": [[7.358, 0.000, 0.000], [0.000, 7.358, 0.000], [0.000, 0.000, 4.458]], "species": ["Ti", "Ti", "Ti", "Ti", "Ti", "Ti", "Ti", "Ti", "Cr", "Cr", "Cr", "Cr", "Cr", "Cr", "Cr", "Cr"], "frac_coords": [[0.952, 0.681, 0.500], [0.048, 0.319, 0.500], [0.319, 0.952, 0.500], [0.681, 0.048, 0.500], [0.856, 0.228, 0.000], [0.144, 0.772, 0.000], [0.772, 0.856, 0.000], [0.228, 0.144, 0.000], [0.687, 0.390, 0.500], [0.313, 0.610, 0.500], [0.610, 0.687, 0.500], [0.390, 0.313, 0.500], [0.804, 0.541, 0.000], [0.196, 0.459, 0.000], [0.459, 0.804, 0.000], [0.541, 0.196, 0.000]]}


No. 7
{"formula": "Be2TeRh", "functional": "PBE-GGA", "state": "optimized geometry", "e_form_raw_mev_per_atom": 365, "lattice": [[-0.676, -1.333, 5.454], [4.049, -3.921, -0.457], [4.844, 0.498, 3.654]], "species": ["Be", "Be", "Be", "Be", "Te", "Te", "Rh", "Rh"], "frac_coords": [[0.590, 0.125, 0.250], [0.160, 0.625, 0.250], [0.375, 0.410, 0.750], [0.875, 0.840, 0.750], [0.000, 0.000, 0.000], [0.750, 0.250, 0.500], [0.500, 0.500, 0.000], [0.250, 0.750, 0.500]]}


No. 8
{"formula": "TaMo2Pb", "functional": "PBE-GGA", "state": "optimized geometry", "formation_energy_mev_per_atom": 544.2, "lattice": [[8.981, 0.002, 0.001], [8.422, 3.120, 0.001], [8.422, 1.511, 2.730]], "species": ["Mo", "Mo", "Pb", "Ta"], "frac_coords": [[0.007, 0.007, 0.007], [0.493, 0.493, 0.493], [0.250, 0.250, 0.250], [0.750, 0.750, 0.750]]}


No. 9
{"formula": "Tc2Pt3Rh3", "functional": "PBE-GGA", "state": "optimized geometry", "formation_energy_mev_per_atom": 113.8, "lattice": [[4.304, 0.000, 0.000], [-2.152, 4.589, 0.000], [0.000, 0.000, 12.668]], "species": ["Tc", "Tc", "Tc", "Tc", "Pt", "Pt", "Pt", "Pt", "Pt", "Pt", "Rh", "Rh", "Rh", "Rh", "Rh", "Rh"], "frac_coords": [[0.768, 0.536, 0.886], [0.232, 0.464, 0.386], [0.768, 0.536, 0.614], [0.232, 0.464, 0.114], [0.933, 0.866, 0.400], [0.067, 0.134, 0.900], [0.933, 0.866, 0.100], [0.067, 0.134, 0.600], [0.725, 0.451, 0.250], [0.275, 0.549, 0.750], [0.620, 0.240, 0.449], [0.380, 0.760, 0.949], [0.620, 0.240, 0.051], [0.380, 0.760, 0.551], [0.434, 0.868, 0.250], [0.566, 0.132, 0.750]]}


No. 10
{"formula": "Ac2PrWN4", "functional": "PBE-GGA", "state": "optimized geometry", "e_form_raw_mev_per_atom": -746, "lattice": [[-0.340, 2.209, 2.880], [-3.459, -5.373, 1.405], [10.546, -5.383, 5.372]], "species": ["Ac", "Ac", "Ac", "Ac", "Pr", "Pr", "W", "W", "N", "N", "N", "N", "N", "N", "N", "N"], "frac_coords": [[0.367, 0.734, 0.538], [0.633, 0.266, 0.038], [0.633, 0.266, 0.462], [0.367, 0.734, 0.962], [0.110, 0.220, 0.750], [0.890, 0.780, 0.250], [0.833, 0.666, 0.750], [0.167, 0.334, 0.250], [0.276, 0.553, 0.144], [0.724, 0.447, 0.644], [0.724, 0.447, 0.856], [0.276, 0.553, 0.356], [0.000, 0.000, 0.500], [0.000, 0.000, 0.000], [0.404, 0.808, 0.750], [0.596, 0.192, 0.250]]}


No. 11
{"formula": "LaBe2SnI", "functional": "PBE-GGA", "state": "optimized geometry", "e_form_raw_mev_per_atom": 441, "lattice": [[4.531, 0.000, 0.000], [0.000, 6.971, 0.000], [0.000, 0.000, 4.531]], "species": ["I", "Be", "Be", "Sn", "La"], "frac_coords": [[0.000, 0.500, 0.000], [0.000, 0.000, 0.500], [0.500, 0.000, 0.000], [0.000, 0.000, 0.000], [0.500, 0.500, 0.500]]}


No. 12
{"formula": "AcThAs", "functional": "PBE-GGA", "state": "optimized geometry", "formation_energy_mev_per_atom": -607.5, "lattice": [[-3.097, -0.410, -2.332], [1.692, -3.069, -1.707], [-1.962, -2.069, 6.227]], "species": ["Ac", "As", "Th"], "frac_coords": [[0.022, 0.022, 0.044], [0.684, 0.684, 0.368], [0.294, 0.294, 0.588]]}


| no. | D(E_F) (states/eV/cell) |
| --- | --- |
| 1 | 2.0 |
| 2 | 2.9 |
| 3 | 5.7 |
| 4 | 3.7 |
| 5 | 1.6 |
| 6 | 23.2 |
| 7 | 1.5 |
| 8 | 5.6 |
| 9 | 23.2 |
| 10 | 8.9 |
| 11 | 4.1 |
| 12 | 4.2 |